Material: Tb2Pr5Tm12
Method: DFT, PBE
State: relaxed

```
Tb2Pr5Tm12
1.0
-6.174 -3.279 -0.694
6.465 -3.251 -6.602
4.293 -8.793 3.348
Tb Pr Tm
2 5 12
direct
0.727 0.000 0.000
0.273 0.000 0.000
0.188 0.376 0.819
0.318 0.636 0.211
0.000 0.000 0.500
0.682 0.364 0.789
0.812 0.624 0.181
0.975 0.950 0.246
0.090 0.685 0.867
0.595 0.685 0.867
0.090 0.675 0.520
0.585 0.675 0.520
0.498 0.996 0.674
0.502 0.004 0.326
0.910 0.325 0.480
0.415 0.325 0.480
0.910 0.315 0.133
0.405 0.315 0.133
0.025 0.050 0.754
```

Calculated values
For the excess energy over the best structure of this formula in the dataset, the calculation gives 155 meV/atom. The volume comes out at 619.2 Å³/cell. For the total energy, the calculation gives -4.388 eV per atom.